[1]
First-principles (PBE-GGA) data for a relaxed CsCa2PbCl8 crystal, as listed in Alexandria via LeMat-Bulk.

a = 6.6966 Å, b = 6.5728 Å, c = 8.9673 Å
α = 89.96°, β = 89.97°, γ = 89.18°
Closest atoms and distances in Å follow each position.
Sites, in units of the cell vectors:
Cs (0.0000, 0.0000, 0.5000)  6 Cl 3.31
Ca (0.5000, 0.5000, 0.7517)  6 Cl 2.76-2.92
Ca (0.5000, 0.5000, 0.2483)  6 Cl 2.76-2.92
Pb (0.0000, 0.0000, 0.0000)  6 Cl 2.75-2.90
Cl (0.1617, 0.7376, 0.2085)  1 Pb 2.75, 1 Ca 2.76
Cl (0.6564, 0.7374, 0.9999)  1 Pb 2.90, 2 Ca 2.92
Cl (0.8377, 0.2620, 0.2084)  1 Pb 2.75, 1 Ca 2.76
Cl (0.8383, 0.2624, 0.7915)  1 Pb 2.75, 1 Ca 2.76
Cl (0.3436, 0.2626, 0.0001)  1 Pb 2.90, 2 Ca 2.92
Cl (0.1623, 0.7380, 0.7916)  1 Pb 2.75, 1 Ca 2.76
Cl (0.5880, 0.7276, 0.4998)  2 Ca 2.78
Cl (0.4120, 0.2724, 0.5002)  2 Ca 2.78

## Properties
- VASP energy (eV/atom) = -3.67
- Fermi-level density of states (states/eV/cell) = 8.96
- total magnetic moment (μB per cell) = 0.0
- energy relative to the elements, uncorrected (eV/f.u.) = -20.72
- V (Å³ per atom) = 32.888


[2]
First-principles (PBE-GGA) data for a relaxed ScTc2SnH crystal, as listed in Alexandria via LeMat-Bulk.

a = 4.1682 Å, b = 4.1682 Å, c = 4.0566 Å
α = 90.00°, β = 90.00°, γ = 90.00°
Closest atoms and distances in Å follow each position.
Sites, in units of the cell vectors:
Sc (0.0000, 0.0000, 0.5000)  2 H 2.03
H (0.0000, 0.0000, 0.0000)  2 Sc 2.03, 4 Tc 2.08
Sn (0.5000, 0.5000, 0.5000)  8 Tc 2.91, 4 Sc 2.95
Tc (0.0000, 0.5000, 0.0000)  2 H 2.08
Tc (0.5000, 0.0000, 0.0000)  2 H 2.08

## Properties
- VASP energy (eV/atom) = -7.04
- Fermi-level density of states (states/eV/cell) = 4.21
- total magnetic moment (μB per cell) = 0.9
- V (Å³ per atom) = 14.096


[3]
First-principles (PBE-GGA) data for a relaxed AcMgIn2Hg crystal, as listed in Alexandria via LeMat-Bulk.

a = 4.7131 Å, b = 4.7131 Å, c = 7.0696 Å
α = 109.47°, β = 109.47°, γ = 90.00°
Closest atoms and distances in Å follow each position.
Sites, in units of the cell vectors:
Ac (0.0000, 0.0000, 0.0000)  8 In 3.62, 4 Hg 3.91, 4 Mg 3.91
Mg (0.2500, 0.7500, 0.5000)  4 In 2.91
In (0.6129, 0.6129, 0.2258)  1 In 2.82, 2 Hg 2.91, 2 Mg 2.91
In (0.3871, 0.3871, 0.7742)  1 In 2.82, 2 Hg 2.91, 2 Mg 2.91
Hg (0.7500, 0.2500, 0.5000)  4 In 2.91

## Properties
- formation energy (eV/atom) = -0.35
- VASP energy (eV/atom) = -2.65
- Fermi-level density of states (states/eV/cell) = 1.54
- total magnetic moment (μB per cell) = 0.0
- V (Å³ per atom) = 27.699


[4]
First-principles (PBE-GGA) data for a relaxed Mg2CoNi crystal, as listed in Alexandria via LeMat-Bulk.

a = 2.8953 Å, b = 2.8952 Å, c = 7.3565 Å
α = 90.00°, β = 90.00°, γ = 90.00°
Closest atoms and distances in Å follow each position.
Sites, in units of the cell vectors:
Co (0.5000, 0.5000, 0.7110)  4 Ni 2.41, 4 Mg 2.70
Mg (0.0000, 0.0000, 0.9508)  4 Co 2.70, 4 Mg 2.90
Mg (0.5000, 0.5000, 0.3012)  4 Ni 2.68, 4 Mg 2.90
Ni (0.0000, 0.0000, 0.5370)  4 Co 2.41, 4 Mg 2.68

## Properties
- formation energy (eV/atom) = 0.05
- VASP energy (eV/atom) = -3.97
- Fermi-level density of states (states/eV/cell) = 4.09
- total magnetic moment (μB per cell) = 1.8
- ΔE to the lowest computed polymorph (meV/atom) = 31.6
- V (Å³ per atom) = 15.416


[5]
First-principles (PBE-GGA) data for a relaxed ZnFeTe2 crystal, as listed in Alexandria via LeMat-Bulk.

a = 4.9208 Å, b = 4.9208 Å, c = 3.6018 Å
α = 90.00°, β = 90.00°, γ = 100.52°
Closest atoms and distances in Å follow each position.
Sites, in units of the cell vectors:
Fe (0.0000, 0.5000, 0.5000)  8 Te 3.05, 2 Zn 3.15
Te (0.0000, 0.0000, 0.0000)  4 Zn 3.05, 4 Fe 3.05, 2 Te 3.15
Te (0.5000, 0.5000, 0.0000)  4 Fe 3.05, 4 Zn 3.05, 2 Te 3.15
Zn (0.5000, 0.0000, 0.5000)  8 Te 3.05, 2 Fe 3.15

## Properties
- VASP energy (eV/atom) = -3.55
- Fermi-level density of states (states/eV/cell) = 2.99
- total magnetic moment (μB per cell) = 3.1
- energy relative to the elements, uncorrected (eV/f.u.) = 1.81
- V (Å³ per atom) = 21.437


[6]
First-principles (PBE-GGA) data for a relaxed U2CdRh9 crystal, as listed in Alexandria via LeMat-Bulk.

a = 4.0202 Å, b = 4.0202 Å, c = 11.8987 Å
α = 90.00°, β = 90.00°, γ = 90.00°
Closest atoms and distances in Å follow each position.
Sites, in units of the cell vectors:
U (0.0000, 0.0000, 0.3278)  12 Rh 2.75-2.87
U (0.0000, 0.0000, 0.6722)  12 Rh 2.75-2.87
Cd (0.0000, 0.0000, 0.0000)  12 Rh 2.84-2.85
Rh (0.5000, 0.5000, 0.0000)  4 Cd 2.84, 8 Rh 2.85
Rh (0.5000, 0.5000, 0.3345)  8 Rh 2.80-2.81, 4 U 2.84
Rh (0.5000, 0.5000, 0.6655)  8 Rh 2.80-2.81, 4 U 2.84
Rh (0.5000, 0.0000, 0.1701)  2 U 2.75, 8 Rh 2.80-2.85, 2 Cd 2.85
Rh (0.5000, 0.0000, 0.5000)  8 Rh 2.81-2.84, 4 U 2.87
Rh (0.5000, 0.0000, 0.8299)  2 U 2.75, 8 Rh 2.80-2.85, 2 Cd 2.85
Rh (0.0000, 0.5000, 0.1701)  2 U 2.75, 8 Rh 2.80-2.85, 2 Cd 2.85
Rh (0.0000, 0.5000, 0.5000)  8 Rh 2.81-2.84, 4 U 2.87
Rh (0.0000, 0.5000, 0.8299)  2 U 2.75, 8 Rh 2.80-2.85, 2 Cd 2.85

## Properties
- formation energy (eV/atom) = -0.45
- VASP energy (eV/atom) = -7.92
- Fermi-level density of states (states/eV/cell) = 11.76
- total magnetic moment (μB per cell) = 0.0
- V (Å³ per atom) = 16.026


[7]
First-principles (PBE-GGA) data for a relaxed ReP3Os crystal, as listed in Alexandria via LeMat-Bulk.

a = 4.5488 Å, b = 4.5488 Å, c = 4.5488 Å
α = 90.00°, β = 90.00°, γ = 90.00°
Closest atoms and distances in Å follow each position.
Sites, in units of the cell vectors:
Re (0.0000, 0.0000, 0.0000)  6 P 2.27
Os (0.5000, 0.5000, 0.5000)  12 P 3.22
P (0.0000, 0.5000, 0.0000)  2 Re 2.27
P (0.0000, 0.0000, 0.5000)  2 Re 2.27
P (0.5000, 0.0000, 0.0000)  2 Re 2.27

## Properties
- formation energy (eV/atom) = 1.43
- VASP energy (eV/atom) = -6.56
- Fermi-level density of states (states/eV/cell) = 4.79
- total magnetic moment (μB per cell) = 0.6
- ΔE to the lowest computed polymorph (meV/atom) = 0.0
- V (Å³ per atom) = 18.824


[8]
First-principles (PBE-GGA) data for a relaxed Tb6NdSm2Dy3 crystal, as listed in Alexandria via LeMat-Bulk.

a = 6.1946 Å, b = 6.1946 Å, c = 11.8507 Å
α = 94.98°, β = 94.98°, γ = 119.97°
Closest atoms and distances in Å follow each position.
Sites, in units of the cell vectors:
Tb (0.9152, 0.5816, 0.7472)  3 Dy 3.55, 6 Tb 3.57-3.58, 2 Sm 3.60, 1 Nd 3.60
Tb (0.7512, 0.7512, 0.2528)  3 Dy 3.55, 6 Tb 3.57-3.58, 1 Nd 3.60, 2 Sm 3.60
Tb (0.0848, 0.4184, 0.2528)  3 Dy 3.55, 6 Tb 3.57-3.58, 2 Sm 3.60, 1 Nd 3.60
Tb (0.5816, 0.9152, 0.7472)  3 Dy 3.55, 6 Tb 3.57-3.58, 2 Sm 3.60, 1 Nd 3.60
Tb (0.2488, 0.2488, 0.7472)  3 Dy 3.55, 6 Tb 3.57-3.58, 1 Nd 3.60, 2 Sm 3.60
Tb (0.4184, 0.0848, 0.2528)  3 Dy 3.55, 6 Tb 3.57-3.58, 2 Sm 3.60, 1 Nd 3.60
Nd (0.0000, 0.0000, 0.0000)  6 Sm 3.58, 6 Tb 3.60
Sm (0.3334, 0.6666, 0.0000)  3 Sm 3.58, 3 Nd 3.58, 6 Tb 3.60
Sm (0.6666, 0.3334, 0.0000)  3 Sm 3.58, 3 Nd 3.58, 6 Tb 3.60
Dy (0.1668, 0.8332, 0.5000)  6 Tb 3.55, 6 Dy 3.57-3.58
Dy (0.8332, 0.1668, 0.5000)  6 Tb 3.55, 6 Dy 3.57-3.58
Dy (0.5000, 0.5000, 0.5000)  6 Tb 3.55, 6 Dy 3.57-3.58

## Properties
- formation energy (eV/atom) = 0.01
- VASP energy (eV/atom) = -4.63
- Fermi-level density of states (states/eV/cell) = 15.36
- total magnetic moment (μB per cell) = 0.0
- V (Å³ per atom) = 32.330


[9]
First-principles (PBE-GGA) data for a relaxed TaZnAu3 crystal, as listed in Alexandria via LeMat-Bulk.

a = 5.1631 Å, b = 5.1631 Å, c = 5.1631 Å
α = 90.00°, β = 90.00°, γ = 90.00°
Closest atoms and distances in Å follow each position.
Sites, in units of the cell vectors:
Zn (0.5000, 0.5000, 0.5000)  12 Au 3.65
Au (0.0000, 0.5000, 0.0000)  2 Ta 2.58
Au (0.0000, 0.0000, 0.5000)  2 Ta 2.58
Au (0.5000, 0.0000, 0.0000)  2 Ta 2.58
Ta (0.0000, 0.0000, 0.0000)  6 Au 2.58

## Properties
- formation energy (eV/atom) = 0.96
- VASP energy (eV/atom) = -3.63
- Fermi-level density of states (states/eV/cell) = 3.66
- total magnetic moment (μB per cell) = 0.0
- ΔE to the lowest computed polymorph (meV/atom) = 71.2
- V (Å³ per atom) = 27.528


[10]
First-principles (PBE-GGA) data for a relaxed Ac2CdS2O2 crystal, as listed in Alexandria via LeMat-Bulk.

a = 4.3669 Å, b = 4.3669 Å, c = 8.1913 Å
α = 105.46°, β = 105.46°, γ = 90.00°
Closest atoms and distances in Å follow each position.
Sites, in units of the cell vectors:
Ac (0.3788, 0.3788, 0.7577)  4 O 2.85, 1 S 3.02
Ac (0.6212, 0.6212, 0.2423)  4 O 2.85, 1 S 3.02
Cd (0.0000, 0.0000, 0.0000)  4 O 2.18
S (0.1798, 0.1798, 0.3596)  1 Cd 2.73, 1 Ac 3.02
S (0.8202, 0.8202, 0.6404)  1 Cd 2.73, 1 Ac 3.02
O (0.0000, 0.5000, 0.0000)  2 Cd 2.18
O (0.5000, 0.0000, 0.0000)  2 Cd 2.18

## Properties
- VASP energy (eV/atom) = -6.01
- total magnetic moment (μB per cell) = 0.0
- energy relative to the elements, uncorrected (eV/f.u.) = -14.76
- V (Å³ per atom) = 20.669


[11]
First-principles (PBE-GGA) data for a relaxed AlMo2W crystal, as listed in Alexandria via LeMat-Bulk.

a = 2.6969 Å, b = 2.6969 Å, c = 8.7058 Å
α = 90.00°, β = 90.00°, γ = 90.00°
Closest atoms and distances in Å follow each position.
Sites, in units of the cell vectors:
Mo (0.0000, 0.0000, 0.9876)  8 Mo 2.70-2.98, 4 Al 2.81
Mo (0.5000, 0.5000, 0.2501)  8 Mo 2.70-2.98, 4 W 2.97
Al (0.5000, 0.5000, 0.7503)  4 Al 2.70, 4 Mo 2.81, 4 W 2.82
W (0.0000, 0.0000, 0.5120)  4 W 2.70, 4 Al 2.82, 4 Mo 2.97

## Properties
- formation energy (eV/atom) = 0.17
- VASP energy (eV/atom) = -9.42
- Fermi-level density of states (states/eV/cell) = 3.33
- total magnetic moment (μB per cell) = 0.0
- V (Å³ per atom) = 15.830


[12]
First-principles (PBE-GGA) data for a relaxed Ba3PO6 crystal, as listed in Alexandria via LeMat-Bulk.

a = 5.6328 Å, b = 8.5589 Å, c = 8.5589 Å
α = 103.95°, β = 90.00°, γ = 90.00°
Closest atoms and distances in Å follow each position.
Sites, in units of the cell vectors:
Ba (0.4801, 0.9192, 0.6889)  5 O 2.55-2.85
Ba (0.9801, 0.6889, 0.9192)  5 O 2.55-2.85
Ba (0.4505, 0.3941, 0.6059)  6 O 2.64-2.94
Ba (0.9505, 0.6059, 0.3941)  6 O 2.64-2.94
Ba (0.9801, 0.0808, 0.3111)  5 O 2.55-2.85
Ba (0.4801, 0.3111, 0.0808)  5 O 2.55-2.85
P (0.0244, 0.1986, 0.8014)  4 O 1.56-1.57
P (0.5244, 0.8014, 0.1986)  4 O 1.56-1.57
O (0.2176, 0.6701, 0.6556)  4 Ba 2.55-2.65, 2 O 2.82
O (0.7176, 0.6556, 0.6701)  4 Ba 2.55-2.65, 2 O 2.82
O (0.1235, 0.3738, 0.8682)  1 P 1.57
O (0.6235, 0.8682, 0.3738)  1 P 1.57
O (0.1208, 0.0898, 0.9102)  1 P 1.56
O (0.7474, 0.2024, 0.7976)  1 P 1.56
O (0.2474, 0.7976, 0.2024)  1 P 1.56
O (0.6208, 0.9102, 0.0898)  1 P 1.56
O (0.1235, 0.1318, 0.6262)  1 P 1.57
O (0.6235, 0.6262, 0.1318)  1 P 1.57
O (0.2176, 0.3444, 0.3299)  4 Ba 2.55-2.65, 2 O 2.82
O (0.7176, 0.3299, 0.3444)  4 Ba 2.55-2.65, 2 O 2.82

## Properties
- VASP energy (eV/atom) = -6.65
- Fermi-level density of states (states/eV/cell) = 1.74
- total magnetic moment (μB per cell) = 2.0
- energy relative to the elements, uncorrected (eV/f.u.) = -25.54
- V (Å³ per atom) = 20.023


Question: What is the formula in the first record?
Answer: CsCa2PbCl8